Entry from Alexandria: a geometry-optimized In2P2Rh structure (PBE-GGA).

Cell: 5.966 5.966 5.654 Å, 90.00 90.00 90.00°
Space group P4/mbm (No. 127)
Symmetry-distinct sites (fractional):
In (0.194, 0.306, 0.000) x4
P (0.128, 0.628, 0.500) x4
Rh (0.000, 0.000, 0.500) x2

## Properties
- electronic total energy (eV per atom) = -4.9171
- total magnetization (μB per formula unit) = 0.00
- calculated volume (Å³ per cell) = 201.2